# 1
Material: ZrBe2Co
Method: DFT, PBE
State: optimized geometry

The structure in extended XYZ format:
```
4
Lattice="-2.629 1.353 -0.125 -1.223 -2.312 0.698 -0.728 -0.810 6.522" Properties=species:S:1:pos:R:3 pbc="T T T"
Be -1.011 -1.669 3.192
Be -1.188 -2.204 1.116
Zr -2.778 -1.665 5.352
Co -1.802 -0.104 1.742
```

Calculated values
Offset from the most stable computed form (meV/atom): 114
DOS at the Fermi energy (states/eV/cell): 2.4
Formation energy (eV/atom): -0.15

=====

# 2
Material: ZrBeCo4
Method: DFT, PBE
State: optimized geometry

The structure in extended XYZ format:
```
6
Lattice="-2.567 -0.199 3.963 -3.485 -3.167 0.401 0.471 -3.672 2.939" Properties=species:S:1:pos:R:3 pbc="T T T"
Zr -4.186 -5.279 5.477
Be 0.000 0.000 0.000
Co -1.850 -4.483 4.212
Co -3.844 -4.229 2.933
Co -3.381 -2.733 4.729
Co -2.087 -2.632 2.731
```

Calculated values
Offset from the most stable computed form (meV/atom): 27
DOS at the Fermi energy (states/eV/cell): 7.8
Formation energy (eV/atom): -0.12

=====

# 3
Material: ZrBe2Co
Method: DFT, PBE
State: optimized geometry

The structure in extended XYZ format:
```
4
Lattice="-5.123 -5.118 3.274 -5.888 -5.305 0.597 -3.755 -6.831 1.549" Properties=species:S:1:pos:R:3 pbc="T T T"
Zr -11.075 -12.941 4.065
Be -14.517 -16.964 5.328
Be -7.632 -8.918 2.801
Co -3.692 -4.314 1.355
```

Calculated values
Offset from the most stable computed form (meV/atom): 571
DOS at the Fermi energy (states/eV/cell): 2.6
Formation energy (eV/atom): 0.31

=====

# 4
Material: Zr2BeCo
Method: DFT, PBE
State: optimized geometry

The structure in extended XYZ format:
```
4
Lattice="-4.675 -2.184 0.965 -0.639 -2.810 4.388 1.898 4.697 -1.379" Properties=species:S:1:pos:R:3 pbc="T T T"
Co -2.718 0.008 1.132
Zr 0.000 0.000 0.000
Zr -0.699 -0.305 2.843
Be -2.657 -2.497 2.677
```

Calculated values
DOS at the Fermi energy (states/eV/cell): 4.1
Formation energy (eV/atom): -0.01

=====

- What is the DOS at the Fermi energy in the third record?
  2.6 states/eV/cell

=====

- Which of these has the lowest formation energy?
  number 1

=====

Repeat the second record exactly.
Material: ZrBeCo4
Method: DFT, PBE
State: optimized geometry

The structure in extended XYZ format:
```
6
Lattice="-2.567 -0.199 3.963 -3.485 -3.167 0.401 0.471 -3.672 2.939" Properties=species:S:1:pos:R:3 pbc="T T T"
Zr -4.186 -5.279 5.477
Be 0.000 0.000 0.000
Co -1.850 -4.483 4.212
Co -3.844 -4.229 2.933
Co -3.381 -2.733 4.729
Co -2.087 -2.632 2.731
```

Calculated values
Offset from the most stable computed form (meV/atom): 27
DOS at the Fermi energy (states/eV/cell): 7.8
Formation energy (eV/atom): -0.12

=====

- formation energy of number 4 (Zr2BeCo)?
  -0.01 eV/atom